First-principles (meta-GGA SCAN) data for a crystal of BeZn2Os relaxed with PBEsol, as listed in Alexandria.

a b c (Å): 8.919 3.117 3.943
angles (deg): 90.00 116.10 90.00
Space group Cm (No. 8)
Asymmetric unit:
Be  0.000  0.000  0.000 [2 per cell]
Zn  0.011  0.500  0.512 [2 per cell]
Zn  0.241  0.500  0.243 [2 per cell]
Os  0.280  0.000  0.782 [2 per cell]

Values from the calculation:
Electronic total energy ... -206.42 eV/cell
D(E_F) ... 0.46 states/eV/atom
V ... 98.4 Å³/cell
Energy of formation from the pure elements ... 5 kJ/mol of formula units